Entry 1:
This record from Alexandria via LeMat-Bulk describes an optimized crystal structure of NaCd3Sb2. The functional is PBE-GGA.

## Properties
DOS at the Fermi energy	0.262	states/eV/atom
formation energy (no corrections)	-107.0	meV/atom
energy above the lowest structure with this stoichiometry	0.000	eV/atom

Cell: 17.851 4.590 9.305 Å, 90.00 118.98 90.00°
Space group C2/m (No. 12)
One atom of each set of equivalent atoms:
Na 0.124 0.000 0.199 x4
Cd 0.099 0.500 0.549 x4
Cd 0.106 0.000 0.785 x4
Cd 0.206 0.500 0.033 x4
Sb 0.016 0.500 0.812 x4
Sb 0.215 0.000 0.604 x4


Entry 2:
This record from Alexandria via LeMat-Bulk describes an optimized crystal structure of HfMg3W. The functional is PBE-GGA.

## Properties
DOS at the Fermi energy	1.601	states/eV/atom
ΔH_f (0 K)	7.47	eV per formula unit
energy above the lowest structure with this stoichiometry	0.000	eV/atom

Cell: 5.005 5.005 5.005 Å, 90.00 90.00 90.00°
Space group Pm-3m (No. 221)
One atom of each set of equivalent atoms:
Hf 0.000 0.000 0.000 x1
Mg 0.000 0.500 0.500 x3
W 0.500 0.500 0.500 x1